The following is a PBE calculation of a geometry-optimized Dy2HfScN4 structure, from Alexandria.

extended XYZ file:
```
8
Lattice="3.319 0.000 0.000 0.000 5.743 0.104 0.000 -2.004 5.431" Properties=species:S:1:pos:R:3 pbc="T T T"
Dy 0.000 1.870 2.768
Dy 1.660 -1.002 2.716
Hf 0.000 0.000 0.000
N 1.660 2.826 4.271
N 0.000 -0.099 4.205
N 1.660 0.913 1.265
N 0.000 3.838 1.331
Sc 1.660 2.871 0.052
```

## Properties
* energy: -9.16 eV/atom

---

The following is a PBE calculation of a geometry-optimized DyHfSc2N4 structure, from Alexandria.

extended XYZ file:
```
8
Lattice="3.266 0.000 0.000 0.000 5.677 0.113 0.000 -1.972 5.275" Properties=species:S:1:pos:R:3 pbc="T T T"
N 1.633 0.861 1.340
N 1.633 2.845 4.048
N 0.000 -0.134 3.949
N 0.000 3.840 1.439
Dy 1.633 2.839 0.057
Sc 0.000 1.853 2.694
Sc 1.633 -0.986 2.637
Hf 0.000 0.000 0.000
```

## Properties
* energy: -9.41 eV/atom

---

The following is a PBE calculation of a geometry-optimized DyHf2Sc3N6 structure, from Alexandria.

extended XYZ file:
```
12
Lattice="3.244 0.000 0.000 0.000 6.490 0.254 -1.622 -1.848 6.811" Properties=species:S:1:pos:R:3 pbc="T T T"
N 0.000 4.666 4.700
N 0.000 1.504 4.615
N 1.622 3.138 2.451
N 0.000 1.705 0.122
N 1.622 2.937 6.943
N 1.622 -0.025 2.365
Sc 1.622 -0.146 4.576
Sc 1.622 3.245 0.127
Sc 0.000 4.788 2.489
Hf 1.622 3.086 4.704
Hf 0.000 1.555 2.362
Dy 1.622 0.000 0.000
```

## Properties
* energy: -9.65 eV/atom

---

The following is a PBE calculation of a geometry-optimized Dy2HfSe2N2 structure, from Alexandria.

extended XYZ file:
```
7
Lattice="-1.124 3.914 0.938 -2.042 -1.394 3.369 7.738 -0.465 1.906" Properties=species:S:1:pos:R:3 pbc="T T T"
Hf 0.000 0.000 0.000
Dy 4.797 0.620 3.164
Dy -0.226 1.436 3.049
N -0.562 1.957 0.469
N -1.021 -0.697 1.685
Se 2.247 0.290 1.482
Se 2.324 1.765 4.731
```

## Properties
* energy: -7.78 eV/atom

---

The following is a PBE calculation of a geometry-optimized SmDy2HfN4 structure, from Alexandria.

extended XYZ file:
```
8
Lattice="3.415 0.000 0.000 0.000 5.948 0.123 0.000 -2.061 5.547" Properties=species:S:1:pos:R:3 pbc="T T T"
N 1.708 0.881 1.330
N 0.000 4.063 1.446
N 1.708 3.007 4.340
N 0.000 -0.176 4.224
Dy 0.000 1.944 2.835
Dy 1.708 -1.030 2.774
Hf 0.000 0.000 0.000
Sm 1.708 2.974 0.062
```

## Properties
* energy: -8.82 eV/atom

---

The following is a PBE calculation of a geometry-optimized Sm2DyHfN4 structure, from Alexandria.

extended XYZ file:
```
8
Lattice="-2.419 0.819 2.293 1.630 -4.635 3.375 3.175 4.824 1.627" Properties=species:S:1:pos:R:3 pbc="T T T"
Sm 2.403 0.095 2.501
Sm 0.378 2.821 1.960
Dy -0.394 -1.908 2.834
Hf 0.000 0.000 0.000
N 1.968 -2.407 2.935
N 2.514 0.581 5.012
N -0.127 0.427 2.282
N 2.838 2.596 2.067
```

## Properties
* energy: -8.80 eV/atom

---

The following is a PBE calculation of a geometry-optimized Dy3Hf3TaN8 structure, from Alexandria.

extended XYZ file:
```
15
Lattice="-3.180 1.755 5.374 6.013 -2.394 0.425 -0.886 6.113 -2.521" Properties=species:S:1:pos:R:3 pbc="T T T"
Hf -2.033 3.934 1.426
Hf 0.974 2.737 1.639
Hf 2.563 1.860 -1.048
N 4.545 2.411 -0.142
N 1.405 3.661 -0.364
N -0.091 4.584 2.363
N 2.885 3.327 2.664
N 2.039 0.891 0.915
N -2.598 3.064 3.420
N -0.937 2.148 0.614
N 0.542 1.814 3.642
Dy 1.417 -0.319 2.899
Dy 3.006 -1.197 0.213
Dy 0.000 0.000 0.000
Ta -0.443 3.057 -1.260
```

## Properties
* energy: -9.78 eV/atom

---

The following is a PBE calculation of a geometry-optimized TbDyHfN3 structure, from Alexandria.

extended XYZ file:
```
12
Lattice="-0.621 -3.195 0.612 3.869 0.037 4.120 -6.927 2.366 5.317" Properties=species:S:1:pos:R:3 pbc="T T T"
N 0.575 -2.036 3.395
N -2.304 1.278 8.812
N -2.751 -1.309 3.815
N -4.255 1.244 6.654
N -1.376 -2.070 1.237
N -0.928 0.517 6.234
Tb -0.892 -0.162 2.728
Tb -2.788 -0.630 7.321
Hf 2.431 -0.653 3.539
Hf -6.110 -0.139 6.510
Dy 0.054 -1.476 5.789
Dy -3.733 0.684 4.260
```

## Properties
* energy: -8.86 eV/atom

---

Respective formation energy without anion corrections values: -1813 -1846 -1866 -1667 -1673 -1638 -1635 -1501 meV per atom.
Respective total moment values: 0.0 0.0 0.0 0.0 0.0 0.0 0.0 0.0 μB per formula unit.
Respective theoretical density values: 9.63 8.21 8.46 8.84 10.38 9.99 10.86 10.68 g/cm3.